Crystalline Ac5Sn6 at its relaxed geometry. Source: Alexandria, functional PBE-GGA.

Summary:
- Space-group type: Cmmm (65)
- Total DFT energy (no corrections): -4.707 eV per atom
- Energy above the lowest structure with this stoichiometry: 0.0 meV/atom
- Energy of formation: -63.3 kJ/mol of atoms

Structure (CIF):
```
data_Ac5Sn6
_chemical_formula_sum 'Ac5 Sn6'
_symmetry_space_group_name_H-M 'P 1'
_symmetry_Int_Tables_number 1
_cell_length_a 16.988
_cell_length_b 16.988
_cell_length_c 4.992
_cell_angle_alpha 90.00
_cell_angle_beta 90.00
_cell_angle_gamma 164.47
loop_
_symmetry_equiv_pos_as_xyz
'x,y,z'
loop_
_atom_site_label
_atom_site_fract_x
_atom_site_fract_y
_atom_site_fract_z
Ac1 0.000 0.000 0.000
Ac2 0.200 0.800 0.500
Ac3 0.386 0.614 0.000
Ac4 0.614 0.386 0.000
Ac5 0.800 0.200 0.500
Sn1 0.100 0.900 0.500
Sn2 0.281 0.719 0.000
Sn3 0.457 0.543 0.500
Sn4 0.543 0.457 0.500
Sn5 0.719 0.281 0.000
Sn6 0.900 0.100 0.500
```